1.
Material: Y6HoZn2
Method: DFT, PBE
State: optimized geometry

Output
space-group type = No. 12

Cell lengths 6.5166, 6.5166, 11.8584 Å; angles 108.99, 108.99, 32.32 degrees
Closest atoms and distances in Å follow each position.
Element x y z (fractional)
Y 0.0267 0.0267 0.3249  2 Zn 3.06, 1 Y 3.42
Y 0.3101 0.3101 0.1243  2 Zn 3.07, 3 Y 3.35-3.38
Y 0.3167 0.3167 0.4113  2 Zn 3.22, 6 Y 3.38-3.59
Y 0.6833 0.6833 0.5887  2 Zn 3.22, 6 Y 3.38-3.59
Y 0.6899 0.6899 0.8757  2 Zn 3.07, 3 Y 3.35-3.38
Y 0.9733 0.9733 0.6751  2 Zn 3.06, 1 Y 3.42
Ho 0.0000 0.0000 0.0000  4 Zn 3.07
Zn 0.3508 0.3508 0.7993  6 Y 3.06-3.22, 2 Ho 3.07
Zn 0.6492 0.6492 0.2007  6 Y 3.06-3.22, 2 Ho 3.07

=====

2.
Material: ReTc2B
Method: DFT, PBE
State: optimized geometry

Output
space-group type = No. 166

Cell lengths 7.3220, 7.3220, 7.3220 Å; angles 22.68, 22.68, 22.68 degrees
Closest atoms and distances in Å follow each position.
Element x y z (fractional)
Re 0.0000 0.0000 0.0000  6 Tc 2.78, 6 Re 2.88
Tc 0.2292 0.2292 0.2292  3 B 2.13
Tc 0.7708 0.7708 0.7708  3 B 2.13
B 0.5000 0.5000 0.5000  6 Tc 2.13

=====

Number 1: ΔE_f -147 meV per atom. Number 2: ΔE_f -3 meV per atom.